{"formula": "Cr2CdPb", "functional": "GGA-PBE", "state": "optimized geometry", "cell": [[-3.179, -5.576, 3.847], [2.515, -0.351, -3.738], [2.146, -2.769, 1.703]], "species": ["Pb", "Cr", "Cr", "Cd"], "fractional_positions": [[0.000, 0.500, 0.500], [0.500, 0.000, 0.500], [0.000, 0.000, 0.000], [0.500, 0.500, 0.000]], "vol_a3_per_atom": 19.88, "e_form_ev_per_atom": 0.5629, "magmom_total_mub_per_atom": 1.897}